DFT (PBE-GGA) results for Ba2SrHg after structural relaxation.

Structure (POSCAR):
```
Ba2SrHg
1.0
7.2728 -0.0054 0.0000
3.2344 6.5139 0.0000
-5.2536 -3.2543 3.8344
Hg Ba Sr
1 2 1
direct
0.5000 0.5000 0.0000
0.0000 0.0000 0.0000
0.2500 0.7500 0.5000
0.7500 0.2500 0.5000
```

## Properties
Density of states at the Fermi level = 1.4168 states/eV per atom
Calculated formation energy = -70 meV/atom
Crystal system = tetragonal
Volume = 45.43 Å³/atom
Mass density = 5.1 g cm⁻³